TbCePm2Dy4 after structural relaxation, computed with PBE-GGA.

Geometry as CIF:
```
data_TbCePm2Dy4
_chemical_formula_sum 'Tb1 Ce1 Pm2 Dy4'
_cell_length_a 6.1795
_cell_length_b 3.5709
_cell_length_c 11.8049
_cell_angle_alpha 90.00
_cell_angle_beta 100.18
_cell_angle_gamma 90.00
_symmetry_space_group_name_H-M 'P 1 2/m 1'
_symmetry_Int_Tables_number 10
_symmetry_space_group_name_Hall '-P 2y'
loop_
_atom_site_label
_atom_site_fract_x
_atom_site_fract_y
_atom_site_fract_z
Tb1 0.0000 0.0000 0.0000
Ce1 0.5000 0.5000 0.0000
Pm1 0.0000 0.5000 0.5000
Pm2 0.5000 0.0000 0.5000
Dy1 0.2520 0.5000 0.2474
Dy2 0.2546 0.0000 0.7541
```

## Properties
ΔE_f: 3.7 kJ/mol of atoms
Total DFT energy (no corrections): -38.16 eV/cell
Crystal system: monoclinic
Volume: 256.4 Å³ per cell